## A
# BaPmLu2 | Alexandria via LeMat-Bulk | PBE | optimized geometry
# * DOS at the Fermi energy: 16.98 states/eV per cell
# * mass density: 7.39 g/cm3
data_BaPmLu2
_space_group_name_H-M_alt 'R -3 m'
_space_group_IT_number 166
_space_group_name_Hall '-R 3 2"'
_cell_length_a 3.5841
_cell_length_b 3.5841
_cell_length_c 38.3199
_cell_angle_alpha 90.00
_cell_angle_beta 90.00
_cell_angle_gamma 120.00
loop_
_atom_site_label
_atom_site_type_symbol
_atom_site_fract_x
_atom_site_fract_y
_atom_site_fract_z
Ba1 Ba 0.0000 0.0000 0.0000
Pm1 Pm 0.0000 0.0000 0.5000
Lu1 Lu 0.0000 0.0000 0.0934

## B
# BaPmLu2 | Alexandria via LeMat-Bulk | PBE | optimized geometry
# * DOS at the Fermi energy: 5.79 states/eV per cell
# * mass density: 7.24 g/cm3
data_BaPmLu2
_space_group_name_H-M_alt 'P 4/m m m'
_space_group_IT_number 123
_space_group_name_Hall '-P 4 2'
_cell_length_a 3.697
_cell_length_b 3.697
_cell_length_c 10.617
_cell_angle_alpha 90.00
_cell_angle_beta 90.00
_cell_angle_gamma 90.00
loop_
_atom_site_label
_atom_site_type_symbol
_atom_site_fract_x
_atom_site_fract_y
_atom_site_fract_z
Ba1 Ba 0.000 0.000 0.000
Pm1 Pm 0.000 0.000 0.500
Lu1 Lu 0.500 0.500 0.282

Stability ranking, top entry: B; the second entry is 74 meV per atom less favorable.

## A
# BaPrLu2 | Alexandria via LeMat-Bulk | PBE | optimized geometry
# * DOS at the Fermi energy: 5.96 states/eV per cell
# * mass density: 7.07 g/cm3
data_BaPrLu2
_space_group_name_H-M_alt 'P 4/m m m'
_space_group_IT_number 123
_space_group_name_Hall '-P 4 2'
_cell_length_a 3.728
_cell_length_b 3.728
_cell_length_c 10.608
_cell_angle_alpha 90.00
_cell_angle_beta 90.00
_cell_angle_gamma 90.00
loop_
_atom_site_label
_atom_site_type_symbol
_atom_site_fract_x
_atom_site_fract_y
_atom_site_fract_z
Ba1 Ba 0.000 0.000 0.000
Pr1 Pr 0.000 0.000 0.500
Lu1 Lu 0.500 0.500 0.280

## B
# BaPrLu2 | Alexandria via LeMat-Bulk | PBE | optimized geometry
# * DOS at the Fermi energy: 16.65 states/eV per cell
# * mass density: 7.23 g/cm3
data_BaPrLu2
_space_group_name_H-M_alt 'R -3 m'
_space_group_IT_number 166
_space_group_name_Hall '-R 3 2"'
_cell_length_a 3.6035
_cell_length_b 3.6035
_cell_length_c 38.4875
_cell_angle_alpha 90.00
_cell_angle_beta 90.00
_cell_angle_gamma 120.00
loop_
_atom_site_label
_atom_site_type_symbol
_atom_site_fract_x
_atom_site_fract_y
_atom_site_fract_z
Ba1 Ba 0.0000 0.0000 0.0000
Pr1 Pr 0.0000 0.0000 0.5000
Lu1 Lu 0.0000 0.0000 0.0930

Stability ranking, top entry: A; the second entry is 77 meV per atom less favorable.

## A
# BaLu2Th | Alexandria via LeMat-Bulk | PBE | optimized geometry
# * DOS at the Fermi energy: 5.02 states/eV per cell
# * mass density: 8.36 g/cm3
data_BaLu2Th
_space_group_name_H-M_alt 'P 4/m m m'
_space_group_IT_number 123
_space_group_name_Hall '-P 4 2'
_cell_length_a 3.661
_cell_length_b 3.661
_cell_length_c 10.662
_cell_angle_alpha 90.00
_cell_angle_beta 90.00
_cell_angle_gamma 90.00
loop_
_atom_site_label
_atom_site_type_symbol
_atom_site_fract_x
_atom_site_fract_y
_atom_site_fract_z
Ba1 Ba 0.000 0.000 0.000
Lu1 Lu 0.500 0.500 0.288
Th1 Th 0.000 0.000 0.500

## B
# BaLu2Th | Alexandria via LeMat-Bulk | PBE | optimized geometry
# * DOS at the Fermi energy: 19.05 states/eV per cell
# * mass density: 8.47 g/cm3
data_BaLu2Th
_space_group_name_H-M_alt 'R -3 m'
_space_group_IT_number 166
_space_group_name_Hall '-R 3 2"'
_cell_length_a 3.5877
_cell_length_b 3.5877
_cell_length_c 37.9348
_cell_angle_alpha 90.00
_cell_angle_beta 90.00
_cell_angle_gamma 120.00
loop_
_atom_site_label
_atom_site_type_symbol
_atom_site_fract_x
_atom_site_fract_y
_atom_site_fract_z
Ba1 Ba 0.0000 0.0000 0.0000
Lu1 Lu 0.0000 0.0000 0.0950
Th1 Th 0.0000 0.0000 0.5000

Stability ranking, top entry: A; the second entry is 93 meV per atom less favorable.

## A
# BaLu2Zn | Alexandria via LeMat-Bulk | PBE | optimized geometry
# * DOS at the Fermi energy: 10.95 states/eV per cell
# * mass density: 7.30 g/cm3
data_BaLu2Zn
_space_group_name_H-M_alt 'R -3 m'
_space_group_IT_number 166
_space_group_name_Hall '-R 3 2"'
_cell_length_a 3.5545
_cell_length_b 3.5545
_cell_length_c 34.4575
_cell_angle_alpha 90.00
_cell_angle_beta 90.00
_cell_angle_gamma 120.00
loop_
_atom_site_label
_atom_site_type_symbol
_atom_site_fract_x
_atom_site_fract_y
_atom_site_fract_z
Ba1 Ba 0.0000 0.0000 0.0000
Lu1 Lu 0.0000 0.0000 0.1052
Zn1 Zn 0.0000 0.0000 0.5000

## B
# BaLu2Zn | Alexandria via LeMat-Bulk | PBE | optimized geometry
# * DOS at the Fermi energy: 5.20 states/eV per cell
# * mass density: 7.38 g/cm3
data_BaLu2Zn
_space_group_name_H-M_alt 'P 4/m m m'
_space_group_IT_number 123
_space_group_name_Hall '-P 4 2'
_cell_length_a 3.610
_cell_length_b 3.610
_cell_length_c 9.549
_cell_angle_alpha 90.00
_cell_angle_beta 90.00
_cell_angle_gamma 90.00
loop_
_atom_site_label
_atom_site_type_symbol
_atom_site_fract_x
_atom_site_fract_y
_atom_site_fract_z
Ba1 Ba 0.000 0.000 0.000
Lu1 Lu 0.500 0.500 0.328
Zn1 Zn 0.000 0.000 0.500

Stability ranking, top entry: B; the second entry is 179 meV per atom less favorable.